Entry 1:
Density functional theory data (GGA-PBE) for a relaxed structure of KRb2AcCl6.

Cell lengths 7.9483, 8.3280, 11.2903 Å; angles 90.00, 88.27, 90.00 degrees
Last column: nearest neighbours and their distance in Å.
Fractional positions:
Cl (0.7885, 0.8089, 0.5581)  1 Ac 2.88, 1 K 3.13
Cl (0.7115, 0.3089, 0.9419)  1 Ac 2.88, 1 K 3.13
Cl (0.1278, 0.4438, 0.7615)  1 Ac 2.89, 1 K 3.19
Cl (0.2885, 0.6911, 0.0581)  1 Ac 2.88, 1 K 3.13
Cl (0.8722, 0.5562, 0.2385)  1 Ac 2.89, 1 K 3.19
Cl (0.2115, 0.1911, 0.4419)  1 Ac 2.88, 1 K 3.13
Cl (0.6278, 0.0562, 0.2615)  1 Ac 2.89, 1 K 3.19
Cl (0.3722, 0.9438, 0.7385)  1 Ac 2.89, 1 K 3.19
Cl (0.3154, 0.7192, 0.4256)  1 Ac 2.90, 1 K 3.19
Cl (0.1846, 0.2192, 0.0744)  1 Ac 2.90, 1 K 3.19
Cl (0.8154, 0.7808, 0.9256)  1 Ac 2.90, 1 K 3.19
Cl (0.6846, 0.2808, 0.5744)  1 Ac 2.90, 1 K 3.19
K (0.5000, 0.0000, 0.0000)  6 Cl 3.13-3.19
K (0.0000, 0.5000, 0.5000)  6 Cl 3.13-3.19
Ac (0.5000, 0.0000, 0.5000)  6 Cl 2.88-2.90
Ac (0.0000, 0.5000, 0.0000)  6 Cl 2.88-2.90
Rb (0.4734, 0.4330, 0.2424)  6 Cl 3.33-3.63
Rb (0.9734, 0.0670, 0.7424)  6 Cl 3.33-3.63
Rb (0.0266, 0.9330, 0.2576)  6 Cl 3.33-3.63
Rb (0.5266, 0.5670, 0.7576)  6 Cl 3.33-3.63

Output
uncorrected formation energy = -2.1721 eV/atom
M_tot = 0.00 μB/cell


Entry 2:
Density functional theory data (GGA-PBE) for a relaxed structure of SiTc2SnB.

Cell lengths 4.2561, 4.1718, 4.2561 Å; angles 90.00, 90.00, 90.00 degrees
Last column: nearest neighbours and their distance in Å.
Fractional positions:
Sn (0.0000, 0.5000, 0.0000)  2 B 2.09
Tc (0.0000, 0.0000, 0.5000)  2 B 2.13
Tc (0.5000, 0.0000, 0.0000)  2 B 2.13
B (0.0000, 0.0000, 0.0000)  2 Sn 2.09, 4 Tc 2.13
Si (0.5000, 0.5000, 0.5000)  8 Tc 2.98, 4 Sn 3.01

Output
uncorrected formation energy = 0.6491 eV/atom
M_tot = 0.00 μB/cell


Entry 3:
Density functional theory data (GGA-PBE) for a relaxed structure of Nd2Be4AlIr3.

Cell lengths 3.9101, 3.9101, 10.3195 Å; angles 90.00, 90.00, 90.00 degrees
Last column: nearest neighbours and their distance in Å.
Fractional positions:
Ir (0.0000, 0.0000, 0.5000)  4 Be 2.41
Ir (0.0000, 0.5000, 0.1225)  5 Be 2.33-2.48
Ir (0.5000, 0.0000, 0.8775)  5 Be 2.33-2.48
Nd (0.5000, 0.0000, 0.2402)  6 Ir 3.02-3.32, 8 Be 3.04-3.16, 2 Al 3.32
Nd (0.0000, 0.5000, 0.7598)  6 Ir 3.02-3.32, 8 Be 3.04-3.16, 2 Al 3.32
Be (0.0000, 0.5000, 0.3629)  3 Ir 2.41-2.48, 2 Al 2.41
Be (0.0000, 0.0000, 0.0000)  4 Ir 2.33
Be (0.5000, 0.5000, 0.0000)  4 Ir 2.33
Be (0.5000, 0.0000, 0.6371)  2 Al 2.41, 3 Ir 2.41-2.48
Al (0.5000, 0.5000, 0.5000)  4 Be 2.41

Output
formation enthalpy at 0 K = -0.517 eV per atom
M_tot = 0.00 μB/cell


Entry 4:
Density functional theory data (GGA-PBE) for a relaxed structure of Sn4SbTe2S.

Cell lengths 4.3704, 7.6317, 7.5527 Å; angles 70.47, 90.00, 90.00 degrees
Last column: nearest neighbours and their distance in Å.
Fractional positions:
S (0.5000, 0.5000, 0.0000)  6 Sn 2.98-2.99
Te (0.0000, 0.0000, 0.0000)  6 Sn 3.14-3.15
Te (0.5000, 0.0000, 0.5000)  6 Sn 3.21
Sn (0.0000, 0.7288, 0.7659)  2 S 2.98, 1 Sb 3.07, 3 Te 3.14-3.21
Sn (0.5000, 0.2666, 0.7511)  1 S 2.99, 2 Sb 3.05, 3 Te 3.15-3.21
Sn (0.0000, 0.2712, 0.2341)  2 S 2.98, 1 Sb 3.07, 3 Te 3.14-3.21
Sn (0.5000, 0.7334, 0.2489)  1 S 2.99, 2 Sb 3.05, 3 Te 3.15-3.21
Sb (0.0000, 0.5000, 0.5000)  6 Sn 3.05-3.07

Output
uncorrected formation energy = -0.2041 eV/atom
M_tot = 0.00 μB/cell


Entry 5:
Density functional theory data (GGA-PBE) for a relaxed structure of BaBN3.

Cell lengths 2.8706, 5.2066, 9.9951 Å; angles 90.00, 98.24, 90.00 degrees
Last column: nearest neighbours and their distance in Å.
Fractional positions:
B (0.4677, 0.2500, 0.9356)  2 N 1.46
B (0.5323, 0.7500, 0.0644)  2 N 1.46
N (0.9550, 0.2500, 0.9104)  2 B 1.46
N (0.0450, 0.7500, 0.0896)  2 B 1.46
N (0.2715, 0.7500, 0.5380)  1 N 1.14
N (0.7285, 0.2500, 0.4620)  1 N 1.14
N (0.7869, 0.2500, 0.5777)  1 N 1.14
N (0.2131, 0.7500, 0.4223)  1 N 1.14
Ba (0.8945, 0.7500, 0.7885)  5 N 2.86-2.98, 2 Ba 2.87, 2 B 3.08
Ba (0.1055, 0.2500, 0.2115)  5 N 2.86-2.98, 2 Ba 2.87, 2 B 3.08

Output
uncorrected formation energy = -0.0482 eV/atom
M_tot = 0.00 μB/cell


Entry 6:
Density functional theory data (GGA-PBE) for a relaxed structure of Sc2PtBr.

Cell lengths 9.6048, 9.6048, 9.6048 Å; angles 21.07, 21.07, 21.07 degrees
Last column: nearest neighbours and their distance in Å.
Fractional positions:
Pt (0.7332, 0.7332, 0.7332)  3 Sc 2.56
Br (0.5123, 0.5123, 0.5123)  3 Sc 2.72
Sc (0.2434, 0.2434, 0.2434)  3 Br 2.72
Sc (0.0111, 0.0111, 0.0111)  3 Pt 2.56

Output
uncorrected formation energy = -0.6675 eV/atom
M_tot = 0.90 μB/cell


Entry 7:
Density functional theory data (GGA-PBE) for a relaxed structure of MnZnCu2H.

Cell lengths 3.8383, 3.8383, 3.6285 Å; angles 90.00, 90.00, 90.00 degrees
Last column: nearest neighbours and their distance in Å.
Fractional positions:
Cu (0.5000, 0.0000, 0.0000)  2 H 1.92
Cu (0.0000, 0.5000, 0.0000)  2 H 1.92
H (0.0000, 0.0000, 0.0000)  2 Mn 1.81, 4 Cu 1.92
Mn (0.0000, 0.0000, 0.5000)  2 H 1.81
Zn (0.5000, 0.5000, 0.5000)  8 Cu 2.64, 4 Mn 2.71

Output
DFT total energy = -21.61 eV/f.u.
M_tot = 2.62 μB/cell


Entry 8:
Density functional theory data (GGA-PBE) for a relaxed structure of BaLa2Ru.

Cell lengths 8.3271, 8.3271, 8.3247 Å; angles 59.99, 59.99, 90.00 degrees
Last column: nearest neighbours and their distance in Å.
Fractional positions:
La (0.3750, 0.6240, 0.7500)  2 Ru 2.55
La (0.3740, 0.6250, 0.2500)  2 Ru 2.55
La (0.8750, 0.6260, 0.7500)  2 Ru 2.55
La (0.3760, 0.1250, 0.2500)  2 Ru 2.55
Ba (0.0000, 0.0000, 0.0000)  12 La 4.88-4.89, 4 Ba 5.10, 4 Ru 5.10
Ba (0.7500, 0.2500, 0.5000)  12 La 4.88-4.89, 4 Ba 5.10, 4 Ru 5.10
Ru (0.2500, 0.7500, 0.5000)  4 La 2.55
Ru (0.5000, 0.5000, 0.0000)  4 La 2.55

Output
formation enthalpy at 0 K = 0.095 eV per atom
M_tot = 0.00 μB/cell


Entry 9:
Density functional theory data (GGA-PBE) for a relaxed structure of AcPrTlGa.

Cell lengths 5.5843, 5.5843, 5.5843 Å; angles 60.00, 60.00, 60.00 degrees
Last column: nearest neighbours and their distance in Å.
Fractional positions:
Tl (0.7500, 0.7500, 0.7500)  4 Ac 3.42, 4 Pr 3.42
Ac (0.5000, 0.5000, 0.5000)  4 Ga 3.42, 4 Tl 3.42
Ga (0.2500, 0.2500, 0.2500)  4 Ac 3.42, 4 Pr 3.42
Pr (0.0000, 0.0000, 0.0000)  4 Tl 3.42, 4 Ga 3.42

Output
formation enthalpy at 0 K = -0.386 eV per atom
M_tot = 0.00 μB/cell


Entry 10:
Density functional theory data (GGA-PBE) for a relaxed structure of KZr2As.

Cell lengths 6.3870, 6.3870, 6.3870 Å; angles 148.56, 128.31, 61.76 degrees
Last column: nearest neighbours and their distance in Å.
Fractional positions:
As (0.7500, 0.2500, 0.5000)  4 Zr 2.69
Zr (0.5621, 0.5621, 0.0000)  2 As 2.69
Zr (0.9379, 0.9379, 0.0000)  2 As 2.69
K (0.2500, 0.7500, 0.5000)  4 As 3.28, 2 K 3.46, 4 Zr 3.46

Output
formation enthalpy at 0 K = 0.045 eV per atom
M_tot = 0.00 μB/cell


Entry 11:
Density functional theory data (GGA-PBE) for a relaxed structure of RbNaScI6.

Cell lengths 7.8832, 7.8828, 8.2911 Å; angles 90.02, 89.98, 59.84 degrees
Last column: nearest neighbours and their distance in Å.
Fractional positions:
I (0.0329, 0.3393, 0.2962)  1 Sc 2.89, 1 Na 3.22
I (0.3398, 0.6278, 0.2962)  1 Sc 2.89, 1 Na 3.22
I (0.3393, 0.0329, 0.7037)  1 Sc 2.89, 1 Na 3.22
I (0.0312, 0.6293, 0.7030)  1 Sc 2.89, 1 Na 3.22
I (0.6293, 0.0312, 0.2970)  1 Sc 2.89, 1 Na 3.22
I (0.6277, 0.3398, 0.7038)  1 Sc 2.89, 1 Na 3.22
Na (0.6662, 0.6662, 0.5000)  6 I 3.22
Rb (0.0001, 0.0001, 0.0000)  6 I 3.73
Sc (0.3334, 0.3334, 0.5000)  6 I 2.89

Output
uncorrected formation energy = -1.0665 eV/atom
M_tot = 1.04 μB/cell